The following is a SCAN calculation of a PBEsol-optimized structure of HgTeIr2, from Alexandria via LeMat-Bulk.

```
HgTeIr2
1.0
3.128 0.000 0.000
0.000 3.635 0.000
0.000 0.000 6.107
Ir Hg Te
2 1 1
Direct
0.000 0.000 0.757 Ir
0.000 0.000 0.243 Ir
0.500 0.500 0.500 Hg
0.500 0.500 0.000 Te
```

Output
* ΔE to the lowest computed polymorph: 102 meV per atom
* total energy: -61.30 eV per atom
* spin magnetization: 0.0 μB per formula unit
* crystal system: orthorhombic
* SG: No. 47

---

The following is a SCAN calculation of a PBEsol-optimized structure of AlTeOs2, from Alexandria via LeMat-Bulk.

```
AlTeOs2
1.0
2.985 0.013 0.000
-0.001 5.086 0.000
-1.492 -2.550 4.281
Os Te Al
2 1 1
Direct
0.000 0.500 0.500 Os
0.500 0.000 0.500 Os
0.000 0.500 0.000 Te
0.500 0.000 0.000 Al
```

Output
* ΔE to the lowest computed polymorph: 503 meV per atom
* total energy: -46.51 eV per atom
* spin magnetization: 0.0 μB per formula unit
* crystal system: monoclinic
* SG: No. 12

---

The following is a SCAN calculation of a PBEsol-optimized structure of TlAs2Se2, from Alexandria via LeMat-Bulk.

```
TlAs2Se2
1.0
-1.535 -3.042 0.619
4.848 -3.665 -5.986
5.913 -1.787 5.883
Se As Tl
4 4 2
Direct
0.000 0.147 0.353 Se
0.000 0.853 0.647 Se
0.000 0.647 0.147 Se
0.000 0.353 0.853 Se
0.500 0.211 0.711 As
0.500 0.711 0.789 As
0.500 0.789 0.289 As
0.500 0.289 0.211 As
0.000 0.500 0.500 Tl
0.000 0.000 0.000 Tl
```

Output
* total energy: -30.53 eV per atom
* spin magnetization: 0.0 μB per formula unit
* crystal system: tetragonal
* SG: No. 127

---

The following is a SCAN calculation of a PBEsol-optimized structure of Mg2TlMo, from Alexandria via LeMat-Bulk.

```
Mg2TlMo
1.0
-0.592 2.596 1.201
-2.857 -0.595 -0.122
0.435 -3.831 8.497
Mg Mo Tl
2 1 1
Direct
0.500 0.500 0.270 Mg
0.000 0.000 0.003 Mg
0.000 0.000 0.492 Mo
0.500 0.500 0.734 Tl
```

Output
* ΔE to the lowest computed polymorph: 28 meV per atom
* total energy: -28.91 eV per atom
* spin magnetization: 0.0 μB per formula unit
* crystal system: tetragonal
* DFT formation energy: 0.39 eV per atom
* SG: No. 99

---

The following is a SCAN calculation of a PBEsol-optimized structure of AlSbAu, from Alexandria via LeMat-Bulk.

```
AlSbAu
1.0
-3.430 -2.541 -1.586
0.195 -1.713 -4.215
0.577 -4.475 -0.615
Au Sb Al
1 1 1
Direct
0.250 0.250 0.250 Au
0.000 0.000 0.000 Sb
0.500 0.500 0.500 Al
```

Output
* ΔE to the lowest computed polymorph: 0 meV per atom
* total energy: -38.23 eV per atom
* spin magnetization: 0.0 μB per formula unit
* crystal system: cubic
* SG: No. 216

---

The following is a SCAN calculation of a PBEsol-optimized structure of Ti2PdPbS, from Alexandria via LeMat-Bulk.

```
Ti2PdPbS
1.0
4.850 0.000 0.000
0.000 4.850 0.000
0.000 0.000 4.996
Pb Ti Pd S
1 2 1 1
Direct
0.000 0.000 0.500 Pb
0.500 0.000 0.000 Ti
0.000 0.500 0.000 Ti
0.000 0.000 0.000 Pd
0.500 0.500 0.500 S
```

Output
* total energy: -29.67 eV per atom
* spin magnetization: 3.1 μB per formula unit
* crystal system: tetragonal
* SG: No. 123

---

N(E_F) list, top to bottom, in states/eV per atom: 0.4945; 0.7221; 0.3683; 0.4602; 0.5383; 0.5908